(1)
Entry from Alexandria via LeMat-Bulk: an optimized crystal structure of Ac2Dy2Y5 (PBE).

Output
E_tot: -5.311 eV per atom
Total magnetization: 0.00 μB per cell
ΔH_f (0 K): 216 meV/atom
Crystal system: monoclinic

Cell lengths 11.2348, 11.2348, 8.3495 Å; angles 99.01, 99.01, 18.54 degrees
Closest atoms and distances in Å follow each position.
Positions (direct):
Ac (0.1791, 0.1791, 0.1356)  2 Ac 3.62, 5 Y 3.67-3.95
Ac (0.8209, 0.8209, 0.8644)  2 Ac 3.62, 5 Y 3.67-3.95
Dy (0.4528, 0.4528, 0.6464)  7 Y 3.29-3.55, 3 Dy 3.46-3.62
Dy (0.5472, 0.5472, 0.3536)  7 Y 3.29-3.55, 3 Dy 3.46-3.62
Y (0.0000, 0.0000, 0.0000)  4 Y 3.32-3.62, 4 Dy 3.48
Y (0.0904, 0.0904, 0.7191)  5 Y 3.32-3.62, 4 Dy 3.52-3.55, 1 Ac 3.71
Y (0.3099, 0.3099, 0.4655)  1 Dy 3.29, 6 Y 3.34-3.62, 1 Ac 3.67
Y (0.6901, 0.6901, 0.5345)  1 Dy 3.29, 6 Y 3.34-3.62, 1 Ac 3.67
Y (0.9096, 0.9096, 0.2809)  5 Y 3.32-3.62, 4 Dy 3.52-3.55, 1 Ac 3.71


(2)
Entry from Alexandria via LeMat-Bulk: an optimized crystal structure of Li5CdHg2Au2 (PBE).

Output
E_tot: -2.076 eV per atom
Total magnetization: 0.00 μB per cell
ΔH_f (0 K): -312 meV/atom
Crystal system: tetragonal

Cell lengths 10.2113, 10.2113, 3.5903 Å; angles 90.00, 90.00, 90.00 degrees
Closest atoms and distances in Å follow each position.
Positions (direct):
Li (0.0000, 0.5000, 0.0000)  4 Au 2.64, 4 Hg 2.91
Li (0.1130, 0.1821, 0.0000)  2 Au 2.61, 2 Cd 2.83
Li (0.1821, 0.8870, 0.0000)  2 Au 2.61, 2 Cd 2.83
Li (0.3179, 0.3870, 0.0000)  2 Au 2.61, 2 Cd 2.83
Li (0.3870, 0.6821, 0.0000)  2 Au 2.61, 2 Cd 2.83
Li (0.5000, 0.0000, 0.0000)  4 Au 2.64, 4 Hg 2.91
Li (0.6130, 0.3179, 0.0000)  2 Au 2.61, 2 Cd 2.83
Li (0.6821, 0.6130, 0.0000)  2 Au 2.61, 2 Cd 2.83
Li (0.8179, 0.1130, 0.0000)  2 Au 2.61, 2 Cd 2.83
Li (0.8870, 0.8179, 0.0000)  2 Au 2.61, 2 Cd 2.83
Cd (0.0000, 0.0000, 0.5000)  8 Li 2.83
Cd (0.5000, 0.5000, 0.5000)  8 Li 2.83
Hg (0.1583, 0.6583, 0.5000)  6 Li 2.91-2.96, 3 Au 3.00
Hg (0.3417, 0.1583, 0.5000)  6 Li 2.91-2.96, 3 Au 3.00
Hg (0.6583, 0.8417, 0.5000)  6 Li 2.91-2.96, 3 Au 3.00
Hg (0.8417, 0.3417, 0.5000)  6 Li 2.91-2.96, 3 Au 3.00
Au (0.1342, 0.3658, 0.5000)  6 Li 2.61-2.64
Au (0.3658, 0.8658, 0.5000)  6 Li 2.61-2.64
Au (0.6342, 0.1342, 0.5000)  6 Li 2.61-2.64
Au (0.8658, 0.6342, 0.5000)  6 Li 2.61-2.64


Repeat the second record exactly.
Entry from Alexandria via LeMat-Bulk: an optimized crystal structure of Li5CdHg2Au2 (PBE).

Output
E_tot: -2.076 eV per atom
Total magnetization: 0.00 μB per cell
ΔH_f (0 K): -312 meV/atom
Crystal system: tetragonal

Cell lengths 10.2113, 10.2113, 3.5903 Å; angles 90.00, 90.00, 90.00 degrees
Closest atoms and distances in Å follow each position.
Positions (direct):
Li (0.0000, 0.5000, 0.0000)  4 Au 2.64, 4 Hg 2.91
Li (0.1130, 0.1821, 0.0000)  2 Au 2.61, 2 Cd 2.83
Li (0.1821, 0.8870, 0.0000)  2 Au 2.61, 2 Cd 2.83
Li (0.3179, 0.3870, 0.0000)  2 Au 2.61, 2 Cd 2.83
Li (0.3870, 0.6821, 0.0000)  2 Au 2.61, 2 Cd 2.83
Li (0.5000, 0.0000, 0.0000)  4 Au 2.64, 4 Hg 2.91
Li (0.6130, 0.3179, 0.0000)  2 Au 2.61, 2 Cd 2.83
Li (0.6821, 0.6130, 0.0000)  2 Au 2.61, 2 Cd 2.83
Li (0.8179, 0.1130, 0.0000)  2 Au 2.61, 2 Cd 2.83
Li (0.8870, 0.8179, 0.0000)  2 Au 2.61, 2 Cd 2.83
Cd (0.0000, 0.0000, 0.5000)  8 Li 2.83
Cd (0.5000, 0.5000, 0.5000)  8 Li 2.83
Hg (0.1583, 0.6583, 0.5000)  6 Li 2.91-2.96, 3 Au 3.00
Hg (0.3417, 0.1583, 0.5000)  6 Li 2.91-2.96, 3 Au 3.00
Hg (0.6583, 0.8417, 0.5000)  6 Li 2.91-2.96, 3 Au 3.00
Hg (0.8417, 0.3417, 0.5000)  6 Li 2.91-2.96, 3 Au 3.00
Au (0.1342, 0.3658, 0.5000)  6 Li 2.61-2.64
Au (0.3658, 0.8658, 0.5000)  6 Li 2.61-2.64
Au (0.6342, 0.1342, 0.5000)  6 Li 2.61-2.64
Au (0.8658, 0.6342, 0.5000)  6 Li 2.61-2.64


Question: Which of these has the highest ΔH_f (0 K)?
Answer: Ac2Dy2Y5


Question: What is the formula in the first record?
Answer: Ac2Dy2Y5


Question: Among the records above, which one has the lowest E_tot?
Answer: Ac2Dy2Y5